The following is a DFT calculation (PBE with a Hubbard U) of a geometry-optimized BaHf2Fe2O7 structure.

Cell and atoms, written as CIF:
```
data_BaHf2Fe2O7
_cell_length_a 4.143
_cell_length_b 4.288
_cell_length_c 17.894
_cell_angle_alpha 90.00
_cell_angle_beta 90.00
_cell_angle_gamma 90.00
_symmetry_space_group_name_H-M 'I m m m'
_symmetry_Int_Tables_number 71
_symmetry_space_group_name_Hall '-I 2 2'
loop_
_atom_site_label
_atom_site_type_symbol
_atom_site_fract_x
_atom_site_fract_y
_atom_site_fract_z
_atom_site_occupancy
Ba1 Ba 0.000 0.000 0.000 1
Hf1 Hf 0.000 0.000 0.385 1
Fe1 Fe 0.000 0.500 0.261 1
O1 O 0.000 0.000 0.265 1
O2 O 0.000 0.000 0.500 1
O3 O 0.000 0.500 0.117 1
O4 O 0.000 0.500 0.384 1
```

Results
VASP energy (eV per atom): -8.356